No. 1
DFT (PBE-GGA) results for Tm11In9Au4 after structural relaxation.

**ΔE_f**: -614 meV per atom
**ρ**: 10367 kg/m³
**N(E_F)**: 13.334 states/eV/f.u.

The structure in CIF format:
```
data_Tm11In9Au4
_chemical_formula_sum 'Tm22 In18 Au8'
_cell_length_a 14.5873
_cell_length_b 22.0319
_cell_length_c 3.6677
_cell_angle_alpha 90.00
_cell_angle_beta 90.00
_cell_angle_gamma 90.00
_space_group_name_H-M_alt 'C m m m'
_space_group_IT_number 65
_space_group_name_Hall '-C 2 2'
loop_
_atom_site_label
_atom_site_fract_x
_atom_site_fract_y
_atom_site_fract_z
_atom_site_occupancy
Tm1 0.0000 0.0000 0.0000 1
Tm2 0.0000 0.1599 0.0000 1
Tm3 0.0000 0.3701 0.0000 1
Tm4 0.1963 0.5000 0.0000 1
Tm5 0.2399 0.1725 0.0000 1
In1 0.0000 0.5000 0.5000 1
In2 0.1063 0.2600 0.5000 1
In3 0.1397 0.0732 0.5000 1
Au1 0.1517 0.3997 0.5000 1
```

---

No. 2
DFT (PBE-GGA) results for Tm4InAu after structural relaxation.

**ΔE_f**: -219 meV per atom
**ρ**: 8975 kg/m³
**N(E_F)**: 5.147 states/eV/f.u.

The structure in CIF format:
```
data_Tm4InAu
_chemical_formula_sum 'Tm8 In2 Au2'
_cell_length_a 7.3586
_cell_length_b 7.2635
_cell_length_c 6.8481
_cell_angle_alpha 90.00
_cell_angle_beta 93.34
_cell_angle_gamma 90.00
_space_group_name_H-M_alt 'P 1 21/c 1'
_space_group_IT_number 14
loop_
_space_group_symop_operation_xyz
'x,y,z'
'-x,-y,-z'
'-x,y+1/2,-z+1/2'
'x,-y+1/2,z+1/2'
loop_
_atom_site_label
_atom_site_fract_x
_atom_site_fract_y
_atom_site_fract_z
_atom_site_occupancy
Tm1 0.1575 0.1675 0.1758 1
Tm2 0.3329 0.6466 0.1153 1
In1 0.5000 0.0000 0.0000 1
Au1 0.0000 0.0000 0.5000 1
```

---

No. 3
DFT (PBE-GGA) results for Tm4InAu after structural relaxation.

**ΔE_f**: -457 meV per atom
**ρ**: 10385 kg/m³
**N(E_F)**: 4.313 states/eV/f.u.

The structure in CIF format:
```
data_Tm4InAu
_chemical_formula_sum 'Tm8 In2 Au2'
_cell_length_a 5.3241
_cell_length_b 6.8237
_cell_length_c 8.7491
_cell_angle_alpha 90.00
_cell_angle_beta 96.49
_cell_angle_gamma 90.00
_space_group_name_H-M_alt 'P 1 21/m 1'
_space_group_IT_number 11
loop_
_space_group_symop_operation_xyz
'x,y,z'
'-x,-y,-z'
'-x,y+1/2,-z'
'x,-y+1/2,z'
loop_
_atom_site_label
_atom_site_fract_x
_atom_site_fract_y
_atom_site_fract_z
_atom_site_occupancy
Tm1 0.1848 0.2500 0.0649 1
Tm2 0.2262 0.7500 0.3856 1
Tm3 0.2996 0.5075 0.7472 1
In1 0.2362 0.2500 0.4213 1
Au1 0.3266 0.7500 0.0615 1
```

---

No. 4
DFT (PBE-GGA) results for Tm3In2Au3 after structural relaxation.

**ΔE_f**: -648 meV per atom
**ρ**: 11958 kg/m³
**N(E_F)**: 5.990 states/eV/f.u.

The structure in CIF format:
```
data_Tm3In2Au3
_chemical_formula_sum 'Tm6 In4 Au6'
_cell_length_a 3.5789
_cell_length_b 5.0903
_cell_length_c 20.2342
_cell_angle_alpha 90.00
_cell_angle_beta 90.00
_cell_angle_gamma 90.00
_space_group_name_H-M_alt 'I m m m'
_space_group_IT_number 71
_space_group_name_Hall '-I 2 2'
loop_
_atom_site_label
_atom_site_fract_x
_atom_site_fract_y
_atom_site_fract_z
_atom_site_occupancy
Tm1 0.0000 0.0000 0.0000 1
Tm2 0.0000 0.5000 0.1252 1
In1 0.0000 0.0000 0.2369 1
Au1 0.0000 0.0000 0.5000 1
Au2 0.0000 0.5000 0.3840 1
```

---

No. 5
DFT (PBE-GGA) results for Tm3In4Au2 after structural relaxation.

**ΔE_f**: -540 meV per atom
**ρ**: 10633 kg/m³
**N(E_F)**: 4.524 states/eV/f.u.

The structure in CIF format:
```
data_Tm3In4Au2
_chemical_formula_sum 'Tm6 In8 Au4'
_cell_length_a 11.0114
_cell_length_b 4.7966
_cell_length_c 9.0403
_cell_angle_alpha 90.00
_cell_angle_beta 117.17
_cell_angle_gamma 90.00
_space_group_name_H-M_alt 'C 1 2/m 1'
_space_group_IT_number 12
loop_
_space_group_symop_operation_xyz
'x,y,z'
'-x,-y,-z'
'-x,y,-z'
'x,-y,z'
'x+1/2,y+1/2,z'
'-x+1/2,-y+1/2,-z'
'-x+1/2,y+1/2,-z'
'x+1/2,-y+1/2,z'
loop_
_atom_site_label
_atom_site_fract_x
_atom_site_fract_y
_atom_site_fract_z
_atom_site_occupancy
Tm1 0.0000 0.0000 0.0000 1
Tm2 0.1742 0.5000 0.6520 1
In1 0.0343 0.0000 0.3663 1
In2 0.2336 0.5000 0.0751 1
Au1 0.1049 0.5000 0.2752 1
```

---

No. 6
DFT (PBE-GGA) results for Tm3InAu4 after structural relaxation.

**ΔE_f**: -779 meV per atom
**ρ**: 13413 kg/m³
**N(E_F)**: 3.807 states/eV/f.u.

The structure in CIF format:
```
data_Tm3InAu4
_chemical_formula_sum 'Tm3 In1 Au4'
_cell_length_a 4.9091
_cell_length_b 4.9091
_cell_length_c 7.2408
_cell_angle_alpha 90.00
_cell_angle_beta 90.00
_cell_angle_gamma 90.00
_space_group_name_H-M_alt 'P 4/m m m'
_space_group_IT_number 123
_space_group_name_Hall '-P 4 2'
loop_
_atom_site_label
_atom_site_fract_x
_atom_site_fract_y
_atom_site_fract_z
_atom_site_occupancy
Tm1 0.0000 0.0000 0.0000 1
Tm2 0.0000 0.0000 0.5000 1
Tm3 0.5000 0.5000 0.0000 1
In1 0.5000 0.5000 0.5000 1
Au1 0.0000 0.5000 0.2448 1
```

---

No. 7
DFT (PBE-GGA) results for Tm6In2Au after structural relaxation.

**ΔE_f**: -213 meV per atom
**ρ**: 8788 kg/m³
**N(E_F)**: 8.223 states/eV/f.u.

The structure in CIF format:
```
data_Tm6In2Au
_chemical_formula_sum 'Tm12 In4 Au2'
_cell_length_a 5.0306
_cell_length_b 7.1828
_cell_length_c 15.0633
_cell_angle_alpha 90.00
_cell_angle_beta 90.00
_cell_angle_gamma 90.00
_space_group_name_H-M_alt 'I m m m'
_space_group_IT_number 71
_space_group_name_Hall '-I 2 2'
loop_
_atom_site_label
_atom_site_fract_x
_atom_site_fract_y
_atom_site_fract_z
_atom_site_occupancy
Tm1 0.0000 0.2352 0.0000 1
Tm2 0.0000 0.2581 0.3396 1
In1 0.0000 0.5000 0.1668 1
Au1 0.0000 0.5000 0.5000 1
```

---

No. 8
DFT (PBE-GGA) results for Tm2InAu6 after structural relaxation.

**ΔE_f**: -624 meV per atom
**ρ**: 14832 kg/m³
**N(E_F)**: 2.608 states/eV/f.u.

The structure in CIF format:
```
data_Tm2InAu6
_chemical_formula_sum 'Tm4 In2 Au12'
_cell_length_a 5.1878
_cell_length_b 15.6599
_cell_length_c 5.1765
_cell_angle_alpha 90.00
_cell_angle_beta 119.51
_cell_angle_gamma 90.00
_space_group_name_H-M_alt 'C 1 2/m 1'
_space_group_IT_number 12
loop_
_space_group_symop_operation_xyz
'x,y,z'
'-x,-y,-z'
'-x,y,-z'
'x,-y,z'
'x+1/2,y+1/2,z'
'-x+1/2,-y+1/2,-z'
'-x+1/2,y+1/2,-z'
'x+1/2,-y+1/2,z'
loop_
_atom_site_label
_atom_site_fract_x
_atom_site_fract_y
_atom_site_fract_z
_atom_site_occupancy
Tm1 0.0000 0.1621 0.0000 1
In1 0.0000 0.0000 0.5000 1
Au1 0.1598 0.5000 0.8242 1
Au2 0.1621 0.3298 0.3258 1
```

---

No. 9
DFT (PBE-GGA) results for Tm4InAu3 after structural relaxation.

**ΔE_f**: -767 meV per atom
**ρ**: 12337 kg/m³
**N(E_F)**: 3.704 states/eV/f.u.

The structure in CIF format:
```
data_Tm4InAu3
_chemical_formula_sum 'Tm4 In1 Au3'
_cell_length_a 3.5785
_cell_length_b 5.0991
_cell_length_c 10.1900
_cell_angle_alpha 90.00
_cell_angle_beta 90.00
_cell_angle_gamma 90.00
_space_group_name_H-M_alt 'P m m m'
_space_group_IT_number 47
loop_
_space_group_symop_operation_xyz
'x,y,z'
'-x,-y,-z'
'-x,-y,z'
'x,y,-z'
'x,-y,-z'
'-x,y,z'
'-x,y,-z'
'x,-y,z'
loop_
_atom_site_label
_atom_site_fract_x
_atom_site_fract_y
_atom_site_fract_z
_atom_site_occupancy
Tm1 0.0000 0.0000 0.0000 1
Tm2 0.0000 0.0000 0.5000 1
Tm3 0.0000 0.5000 0.2378 1
In1 0.5000 0.5000 0.5000 1
Au1 0.5000 0.0000 0.2571 1
Au2 0.5000 0.5000 0.0000 1
```

---

No. 10
DFT (PBE-GGA) results for TmInAu2 after structural relaxation.

**ΔE_f**: -518 meV per atom
**ρ**: 11509 kg/m³
**N(E_F)**: 2.181 states/eV/f.u.

The structure in CIF format:
```
data_TmInAu2
_chemical_formula_sum 'Tm3 In3 Au6'
_cell_length_a 3.9751
_cell_length_b 3.9751
_cell_length_c 21.4361
_cell_angle_alpha 90.00
_cell_angle_beta 90.00
_cell_angle_gamma 120.00
_space_group_name_H-M_alt 'R 3 m'
_space_group_IT_number 160
_space_group_name_Hall 'R 3 -2"'
loop_
_atom_site_label
_atom_site_fract_x
_atom_site_fract_y
_atom_site_fract_z
_atom_site_occupancy
Tm1 0.0000 0.0000 0.0000 1
In1 0.0000 0.0000 0.8316 1
Au1 0.0000 0.0000 0.4176 1
Au2 0.0000 0.0000 0.5824 1
```

---

No. 11
DFT (PBE-GGA) results for TmInAu2 after structural relaxation.

**ΔE_f**: -576 meV per atom
**ρ**: 13125 kg/m³
**N(E_F)**: 2.329 states/eV/f.u.

The structure in CIF format:
```
data_TmInAu2
_chemical_formula_sum 'Tm1 In1 Au2'
_cell_length_a 4.8041
_cell_length_b 4.8041
_cell_length_c 3.7150
_cell_angle_alpha 90.00
_cell_angle_beta 90.00
_cell_angle_gamma 90.00
_space_group_name_H-M_alt 'P 4/m m m'
_space_group_IT_number 123
_space_group_name_Hall '-P 4 2'
loop_
_atom_site_label
_atom_site_fract_x
_atom_site_fract_y
_atom_site_fract_z
_atom_site_occupancy
Tm1 0.0000 0.0000 0.0000 1
In1 0.5000 0.5000 0.0000 1
Au1 0.0000 0.5000 0.5000 1
```

---

No. 12
DFT (PBE-GGA) results for Tm2In5Au after structural relaxation.

**ΔE_f**: -416 meV per atom
**ρ**: 9848 kg/m³
**N(E_F)**: 2.665 states/eV/f.u.

The structure in CIF format:
```
data_Tm2In5Au
_chemical_formula_sum 'Tm4 In10 Au2'
_cell_length_a 6.4025
_cell_length_b 12.7858
_cell_length_c 4.5684
_cell_angle_alpha 90.00
_cell_angle_beta 90.00
_cell_angle_gamma 90.00
_space_group_name_H-M_alt 'P b a m'
_space_group_IT_number 55
loop_
_space_group_symop_operation_xyz
'x,y,z'
'-x,-y,-z'
'-x,-y,z'
'x,y,-z'
'x+1/2,-y+1/2,-z'
'-x+1/2,y+1/2,z'
'-x+1/2,y+1/2,-z'
'x+1/2,-y+1/2,z'
loop_
_atom_site_label
_atom_site_fract_x
_atom_site_fract_y
_atom_site_fract_z
_atom_site_occupancy
Tm1 0.2407 0.1270 0.0000 1
In1 0.0000 0.0000 0.5000 1
In2 0.0021 0.7426 0.5000 1
In3 0.2360 0.3807 0.0000 1
Au1 0.0000 0.5000 0.5000 1
```

---

No. 13
DFT (PBE-GGA) results for Tm12In5Au3 after structural relaxation.

**ΔE_f**: 118 meV per atom
**ρ**: 8123 kg/m³
**N(E_F)**: 25.555 states/eV/f.u.

The structure in CIF format:
```
data_Tm12In5Au3
_chemical_formula_sum 'Tm96 In40 Au24'
_cell_length_a 17.3472
_cell_length_b 17.3472
_cell_length_c 17.3472
_cell_angle_alpha 90.00
_cell_angle_beta 90.00
_cell_angle_gamma 90.00
_space_group_name_H-M_alt 'I a -3 d'
_space_group_IT_number 230
_space_group_name_Hall '-I 4bd 2c 3'
loop_
_atom_site_label
_atom_site_fract_x
_atom_site_fract_y
_atom_site_fract_z
_atom_site_occupancy
Tm1 0.0157 0.0827 0.6481 1
In1 0.0000 0.0000 0.0000 1
In2 0.0000 0.2500 0.3750 1
Au1 0.0000 0.2500 0.1250 1
```

---

No. 14
DFT (PBE-GGA) results for TmInAu6 after structural relaxation.

**ΔE_f**: -415 meV per atom
**ρ**: 15737 kg/m³
**N(E_F)**: 2.600 states/eV/f.u.

The structure in CIF format:
```
data_TmInAu6
_chemical_formula_sum 'Tm2 In2 Au12'
_cell_length_a 9.4541
_cell_length_b 4.3430
_cell_length_c 8.3908
_cell_angle_alpha 90.00
_cell_angle_beta 116.14
_cell_angle_gamma 90.00
_space_group_name_H-M_alt 'C 1 2/m 1'
_space_group_IT_number 12
loop_
_space_group_symop_operation_xyz
'x,y,z'
'-x,-y,-z'
'-x,y,-z'
'x,-y,z'
'x+1/2,y+1/2,z'
'-x+1/2,-y+1/2,-z'
'-x+1/2,y+1/2,-z'
'x+1/2,-y+1/2,z'
loop_
_atom_site_label
_atom_site_fract_x
_atom_site_fract_y
_atom_site_fract_z
_atom_site_occupancy
Tm1 0.0000 0.0000 0.0000 1
In1 0.0000 0.0000 0.5000 1
Au1 0.0074 0.5000 0.7517 1
Au2 0.2431 0.0000 0.3751 1
Au3 0.2438 0.5000 0.1259 1
```

---

No. 15
DFT (PBE-GGA) results for TmIn2Au after structural relaxation.

**ΔE_f**: 51 meV per atom
**ρ**: 9170 kg/m³
**N(E_F)**: 3.668 states/eV/f.u.

The structure in CIF format:
```
data_TmIn2Au
_chemical_formula_sum 'Tm3 In6 Au3'
_cell_length_a 3.4384
_cell_length_b 3.4384
_cell_length_c 31.5996
_cell_angle_alpha 90.00
_cell_angle_beta 90.00
_cell_angle_gamma 120.00
_space_group_name_H-M_alt 'R -3 m'
_space_group_IT_number 166
_space_group_name_Hall '-R 3 2"'
loop_
_atom_site_label
_atom_site_fract_x
_atom_site_fract_y
_atom_site_fract_z
_atom_site_occupancy
Tm1 0.0000 0.0000 0.0000 1
In1 0.0000 0.0000 0.0992 1
Au1 0.0000 0.0000 0.5000 1
```

---

No. 16
DFT (PBE-GGA) results for TmIn3Au4 after structural relaxation.

**ΔE_f**: -388 meV per atom
**ρ**: 12591 kg/m³
**N(E_F)**: 2.758 states/eV/f.u.

The structure in CIF format:
```
data_TmIn3Au4
_chemical_formula_sum 'Tm2 In6 Au8'
_cell_length_a 14.1171
_cell_length_b 4.8737
_cell_length_c 5.1525
_cell_angle_alpha 90.00
_cell_angle_beta 104.49
_cell_angle_gamma 90.00
_space_group_name_H-M_alt 'C 1 2/m 1'
_space_group_IT_number 12
loop_
_space_group_symop_operation_xyz
'x,y,z'
'-x,-y,-z'
'-x,y,-z'
'x,-y,z'
'x+1/2,y+1/2,z'
'-x+1/2,-y+1/2,-z'
'-x+1/2,y+1/2,-z'
'x+1/2,-y+1/2,z'
loop_
_atom_site_label
_atom_site_fract_x
_atom_site_fract_y
_atom_site_fract_z
_atom_site_occupancy
Tm1 0.0000 0.0000 0.0000 1
In1 0.0000 0.5000 0.5000 1
In2 0.2483 0.5000 0.7736 1
Au1 0.1216 0.0000 0.5840 1
Au2 0.1233 0.5000 0.1349 1
```

---

No. 17
DFT (PBE-GGA) results for TmIn2Au8 after structural relaxation.

**ΔE_f**: -252 meV per atom
**ρ**: 14164 kg/m³
**N(E_F)**: 3.627 states/eV/f.u.

The structure in CIF format:
```
data_TmIn2Au8
_chemical_formula_sum 'Tm2 In4 Au16'
_cell_length_a 8.7357
_cell_length_b 12.2440
_cell_length_c 4.4304
_cell_angle_alpha 90.00
_cell_angle_beta 102.35
_cell_angle_gamma 90.00
_space_group_name_H-M_alt 'C 1 2/m 1'
_space_group_IT_number 12
loop_
_space_group_symop_operation_xyz
'x,y,z'
'-x,-y,-z'
'-x,y,-z'
'x,-y,z'
'x+1/2,y+1/2,z'
'-x+1/2,-y+1/2,-z'
'-x+1/2,y+1/2,-z'
'x+1/2,-y+1/2,z'
loop_
_atom_site_label
_atom_site_fract_x
_atom_site_fract_y
_atom_site_fract_z
_atom_site_occupancy
Tm1 0.0000 0.0000 0.0000 1
In1 0.0000 0.3718 0.5000 1
Au1 0.0000 0.2381 0.0000 1
Au2 0.1652 0.5000 0.9897 1
Au3 0.1710 0.1356 0.5476 1
```

---

No. 18
DFT (PBE-GGA) results for TmIn2Au after structural relaxation.

**ΔE_f**: -466 meV per atom
**ρ**: 10960 kg/m³
**N(E_F)**: 1.078 states/eV/f.u.

The structure in CIF format:
```
data_TmIn2Au
_chemical_formula_sum 'Tm1 In2 Au1'
_cell_length_a 4.4688
_cell_length_b 4.4688
_cell_length_c 4.5180
_cell_angle_alpha 90.00
_cell_angle_beta 90.00
_cell_angle_gamma 90.00
_space_group_name_H-M_alt 'P 4/m m m'
_space_group_IT_number 123
_space_group_name_Hall '-P 4 2'
loop_
_atom_site_label
_atom_site_fract_x
_atom_site_fract_y
_atom_site_fract_z
_atom_site_occupancy
Tm1 0.0000 0.0000 0.0000 1
In1 0.0000 0.5000 0.5000 1
Au1 0.5000 0.5000 0.0000 1
```

---

No. 19
DFT (PBE-GGA) results for TmInAu2 after structural relaxation.

**ΔE_f**: -696 meV per atom
**ρ**: 13498 kg/m³
**N(E_F)**: 2.052 states/eV/f.u.

The structure in CIF format:
```
data_TmInAu2
_chemical_formula_sum 'Tm4 In4 Au8'
_cell_length_a 6.9346
_cell_length_b 6.9346
_cell_length_c 6.9346
_cell_angle_alpha 90.00
_cell_angle_beta 90.00
_cell_angle_gamma 90.00
_space_group_name_H-M_alt 'F m -3 m'
_space_group_IT_number 225
_space_group_name_Hall '-F 4 2 3'
loop_
_atom_site_label
_atom_site_fract_x
_atom_site_fract_y
_atom_site_fract_z
_atom_site_occupancy
Tm1 0.0000 0.0000 0.0000 1
In1 0.0000 0.0000 0.5000 1
Au1 0.2500 0.2500 0.2500 1
```

---

No. 20
DFT (PBE-GGA) results for Tm2InAu after structural relaxation.

**ΔE_f**: -498 meV per atom
**ρ**: 10108 kg/m³
**N(E_F)**: 3.844 states/eV/f.u.

The structure in CIF format:
```
data_Tm2InAu
_chemical_formula_sum 'Tm6 In3 Au3'
_cell_length_a 3.7765
_cell_length_b 3.7765
_cell_length_c 25.9224
_cell_angle_alpha 90.00
_cell_angle_beta 90.00
_cell_angle_gamma 120.00
_space_group_name_H-M_alt 'R -3 m'
_space_group_IT_number 166
_space_group_name_Hall '-R 3 2"'
loop_
_atom_site_label
_atom_site_fract_x
_atom_site_fract_y
_atom_site_fract_z
_atom_site_occupancy
Tm1 0.0000 0.0000 0.2408 1
In1 0.0000 0.0000 0.0000 1
Au1 0.0000 0.0000 0.5000 1
```